1.
This record from Alexandria via LeMat-Bulk describes a relaxed structure of Mn2SiTe. The functional is PBE-GGA.

abc: 5.1341 5.1341 5.1341
angles: 135.72 135.72 64.41
Positions (direct):
Mn 0.0000 0.0000 0.0000
Mn 0.7500 0.2500 0.5000
Si 0.2500 0.7500 0.5000
Te 0.5000 0.5000 0.0000

Properties
* formation energy from raw total energies: 333 meV/atom
* space group: I-4m2
* total energy: -25.57 eV/cell
* V: 65 Å³/f.u.

***

2.
This record from Alexandria via LeMat-Bulk describes a relaxed structure of MnSiTe3. The functional is PBE-GGA.

abc: 5.1718 5.1718 5.1718
angles: 90.00 90.00 90.00
Positions (direct):
Mn 0.0000 0.0000 0.0000
Si 0.5000 0.5000 0.5000
Te 0.0000 0.5000 0.5000
Te 0.5000 0.0000 0.5000
Te 0.5000 0.5000 0.0000

Properties
* formation energy from raw total energies: 1201 meV/atom
* space group: Pm-3m
* total energy: -18.01 eV/cell
* V: 138 Å³/f.u.

***

3.
This record from Alexandria via LeMat-Bulk describes a relaxed structure of Mn2SiTe. The functional is PBE-GGA.

abc: 4.7145 4.7145 4.7145
angles: 132.78 117.20 82.17
Positions (direct):
Mn 0.2085 0.2085 0.0000
Mn 0.7915 0.7915 0.0000
Si 0.0000 0.5000 0.5000
Te 0.5000 0.0000 0.5000

Properties
* formation energy from raw total energies: 245 meV/atom
* space group: Immm
* total energy: -25.92 eV/cell
* V: 66 Å³/f.u.

***

4.
This record from Alexandria via LeMat-Bulk describes a relaxed structure of MnSiTe. The functional is PBE-GGA.

abc: 4.6153 4.6153 4.6153
angles: 60.00 60.00 60.00
Positions (direct):
Mn 0.0000 0.0000 0.0000
Si 0.5000 0.5000 0.5000
Te 0.7500 0.7500 0.7500

Properties
* formation energy from raw total energies: 720 meV/atom
* space group: F-43m
* total energy: -15.57 eV/cell
* V: 70 Å³/f.u.